Record 1
A geometry-optimized NaGe2Au2 structure, computed with PBE.

```
10
Lattice="4.5793 0.0000 0.0000 0.0000 4.5793 0.0000 0.0000 0.0000 10.2353" Properties=species:S:1:pos:R:3 pbc="T T T"
Na 0.0000 0.0000 0.0000
Na 2.2896 2.2896 5.1177
Ge 0.0000 0.0000 3.8559
Ge 0.0000 0.0000 6.3794
Ge 2.2896 2.2896 1.2618
Ge 2.2896 2.2896 8.9735
Au 0.0000 2.2896 2.5588
Au 0.0000 2.2896 7.6765
Au 2.2896 0.0000 2.5588
Au 2.2896 0.0000 7.6765
```

* crystal system: tetragonal
* polymorph energy (0 for the lowest one): 0.000 eV/atom
* DFT formation energy: -0.162 eV/atom
* size of the total moment: 0.00 μB per cell

---

Record 2
A geometry-optimized NaGeAu structure, computed with PBE.

```
12
Lattice="6.0907 0.0000 0.0000 0.0000 6.1742 0.0000 -3.9016 0.0000 7.0351" Properties=species:S:1:pos:R:3 pbc="T T T"
Na -0.2772 0.6762 2.7745
Na -2.2281 2.4110 6.2921
Na 4.4171 3.7633 0.7430
Na 2.4663 5.4981 4.2605
Ge -0.8673 3.7788 3.8131
Ge 1.0835 5.4826 0.2956
Ge 1.1055 0.6916 6.7395
Ge 3.0563 2.3955 3.2220
Au 1.1410 3.7914 2.1650
Au -0.8098 5.4699 5.6825
Au 2.9988 0.7043 1.3525
Au 1.0480 2.3828 4.8701
```

* crystal system: monoclinic
* DFT formation energy: -0.255 eV/atom
* size of the total moment: 0.00 μB per cell

---

Record 3
A geometry-optimized Na2GeAu2 structure, computed with PBE.

```
10
Lattice="3.9879 0.0000 0.0000 0.0000 3.9879 0.0000 0.0000 0.0000 13.9928" Properties=species:S:1:pos:R:3 pbc="T T T"
Na 0.0000 1.9939 3.4982
Na 0.0000 1.9939 10.4946
Na 1.9939 0.0000 3.4982
Na 1.9939 0.0000 10.4946
Ge 0.0000 0.0000 0.0000
Ge 1.9939 1.9939 6.9964
Au 0.0000 0.0000 5.6464
Au 0.0000 0.0000 8.3464
Au 1.9939 1.9939 1.3500
Au 1.9939 1.9939 12.6428
```

* crystal system: tetragonal
* polymorph energy (0 for the lowest one): 0.420 eV/atom
* DFT formation energy: 0.122 eV/atom
* size of the total moment: 0.00 μB per cell

---

Record 4
A geometry-optimized NaGeAu3 structure, computed with PBE.

```
5
Lattice="4.9495 0.0000 0.0000 0.0000 4.9495 0.0000 0.0000 0.0000 4.9495" Properties=species:S:1:pos:R:3 pbc="T T T"
Na 0.0000 0.0000 0.0000
Ge 2.4747 2.4747 2.4747
Au 0.0000 0.0000 2.4747
Au 0.0000 2.4747 0.0000
Au 2.4747 0.0000 0.0000
```

* crystal system: cubic
* polymorph energy (0 for the lowest one): 1.073 eV/atom
* DFT formation energy: 0.829 eV/atom
* size of the total moment: 0.00 μB per cell

---

Record 5
A geometry-optimized Na2Ge3Au9 structure, computed with PBE.

```
28
Lattice="6.9226 -4.1199 0.0000 6.9226 4.1199 0.0000 -4.5503 0.0000 9.5412" Properties=species:S:1:pos:R:3 pbc="T T T"
Na 1.2153 0.6821 2.3362
Na -1.0599 -0.6821 7.1068
Na 10.3549 0.6821 2.4343
Na 8.0798 -0.6821 7.2049
Ge 3.4613 2.0600 0.0000
Ge 3.4247 2.2814 4.8239
Ge 3.5952 2.2814 9.4879
Ge 1.1862 -2.0600 4.7706
Ge 5.6998 -2.2814 0.0533
Ge 5.8703 -2.2814 4.7173
Au 5.7311 3.4356 0.7724
Au 5.8390 3.4356 3.9982
Au 1.2429 0.6692 5.3497
Au 4.2381 1.4824 2.4927
Au 1.1991 0.7948 8.8484
Au 3.5180 -0.6692 0.5791
Au 3.5099 1.0938 7.1559
Au 7.3320 1.4824 2.2778
Au 3.4743 -0.7948 4.0778
Au 5.8208 0.7948 5.4633
Au 1.9630 -1.4824 7.2633
Au 5.7851 -1.0938 2.3853
Au 5.7770 0.6692 8.9621
Au 8.0959 -0.7948 0.6928
Au 5.0569 -1.4824 7.0484
Au 8.0521 -0.6692 4.1915
Au 3.4560 -3.4356 5.5430
Au 3.5639 -3.4356 8.7688
```

* crystal system: monoclinic
* DFT formation energy: -0.135 eV/atom
* size of the total moment: 0.00 μB per cell

---

Record 6
A geometry-optimized Na6GeAu2 structure, computed with PBE.

```
9
Lattice="2.6144 1.5094 9.6941 -2.6144 1.5094 9.6941 0.0000 -3.0188 9.6941" Properties=species:S:1:pos:R:3 pbc="T T T"
Na 0.0000 0.0000 2.3256
Na 0.0000 0.0000 5.7121
Na 0.0000 0.0000 8.9754
Na 0.0000 0.0000 20.1070
Na 0.0000 0.0000 23.3703
Na 0.0000 0.0000 26.7569
Ge 0.0000 0.0000 14.5412
Au 0.0000 0.0000 12.0080
Au 0.0000 0.0000 17.0745
```

* crystal system: trigonal
* DFT formation energy: -0.198 eV/atom
* size of the total moment: 0.00 μB per cell

---

Record 7
A geometry-optimized NaGe2Au5 structure, computed with PBE.

```
16
Lattice="4.3688 0.0000 0.0000 0.0000 7.2490 0.0000 0.0000 0.0000 10.5410" Properties=species:S:1:pos:R:3 pbc="T T T"
Na 0.0000 0.0000 0.0000
Na 2.1844 3.6245 5.2705
Ge 0.0000 3.6245 2.5853
Ge 0.0000 3.6245 7.9557
Ge 2.1844 0.0000 2.6852
Ge 2.1844 0.0000 7.8558
Au 0.0000 1.4449 3.8115
Au 0.0000 1.4449 6.7295
Au 0.0000 3.6245 0.0000
Au 0.0000 5.8041 3.8115
Au 0.0000 5.8041 6.7295
Au 2.1844 0.0000 5.2705
Au 2.1844 2.1796 1.4590
Au 2.1844 2.1796 9.0820
Au 2.1844 5.0694 1.4590
Au 2.1844 5.0694 9.0820
```

* crystal system: orthorhombic
* DFT formation energy: -0.089 eV/atom
* size of the total moment: 0.00 μB per cell

---

Record 8
A geometry-optimized Na4Ge2Au5 structure, computed with PBE.

```
11
Lattice="7.0072 0.0000 0.0000 0.0000 3.6535 0.0000 -0.4304 0.0000 9.3294" Properties=species:S:1:pos:R:3 pbc="T T T"
Na 1.0723 0.0000 3.7541
Na 1.6705 0.0000 8.7385
Na 4.9063 0.0000 0.5908
Na 5.5045 0.0000 5.5753
Ge 0.3451 1.8267 1.2601
Ge 6.2317 1.8267 8.0692
Au 1.1408 1.8267 6.3922
Au 2.7737 1.8267 1.9262
Au 3.2884 1.8267 4.6647
Au 3.8031 1.8267 7.4032
Au 5.4360 1.8267 2.9372
```

* crystal system: monoclinic
* DFT formation energy: -0.208 eV/atom
* size of the total moment: 0.00 μB per cell

---

Record 9
A geometry-optimized NaGe2Au2 structure, computed with PBE.

```
10
Lattice="8.1867 0.0000 0.0000 0.0000 8.1867 0.0000 0.0000 0.0000 3.0039" Properties=species:S:1:pos:R:3 pbc="T T T"
Na 0.0000 0.0000 0.0000
Na 4.0934 4.0934 0.0000
Ge 1.1319 2.9615 0.0000
Ge 2.9615 7.0548 0.0000
Ge 5.2252 1.1319 0.0000
Ge 7.0548 5.2252 0.0000
Au 1.3110 5.4044 1.5019
Au 2.7823 1.3110 1.5019
Au 5.4044 6.8757 1.5019
Au 6.8757 2.7823 1.5019
```

* crystal system: tetragonal
* polymorph energy (0 for the lowest one): 0.098 eV/atom
* DFT formation energy: -0.064 eV/atom
* size of the total moment: 0.00 μB per cell

---

Record 10
A geometry-optimized Na2GeAu2 structure, computed with PBE.

```
10
Lattice="6.8199 0.0000 0.0000 0.0000 6.8199 0.0000 0.0000 0.0000 4.8159" Properties=species:S:1:pos:R:3 pbc="T T T"
Na 1.1482 2.2618 0.0000
Na 2.2618 5.6717 0.0000
Na 4.5581 1.1482 0.0000
Na 5.6717 4.5581 0.0000
Ge 0.0000 0.0000 2.4080
Ge 3.4099 3.4099 2.4080
Au 0.9985 4.4085 2.4080
Au 2.4114 0.9985 2.4080
Au 4.4085 5.8213 2.4080
Au 5.8213 2.4114 2.4080
```

* crystal system: tetragonal
* polymorph energy (0 for the lowest one): 0.078 eV/atom
* DFT formation energy: -0.221 eV/atom
* size of the total moment: 0.00 μB per cell

---

Record 11
A geometry-optimized NaGeAu structure, computed with PBE.

```
6
Lattice="3.5702 0.0000 0.0000 0.0000 3.5702 0.0000 0.0000 0.0000 10.4469" Properties=species:S:1:pos:R:3 pbc="T T T"
Na 0.0000 0.0000 0.0000
Na 1.7851 1.7851 5.2234
Ge 0.0000 0.0000 7.3901
Ge 1.7851 1.7851 2.1667
Au 0.0000 0.0000 3.0690
Au 1.7851 1.7851 8.2924
```

* crystal system: tetragonal
* DFT formation energy: -0.149 eV/atom
* size of the total moment: 0.00 μB per cell

---

Record 12
A geometry-optimized Na3Ge2Au3 structure, computed with PBE.

```
32
Lattice="7.9828 0.0000 0.0000 0.0000 15.5901 0.0000 0.0000 0.0000 5.9320" Properties=species:S:1:pos:R:3 pbc="T T T"
Na 0.0869 1.6837 0.7015
Na 0.0869 6.1113 0.7015
Na 1.3236 3.8975 3.4250
Na 2.6678 11.6926 0.4590
Na 3.9045 9.4788 3.6675
Na 3.9045 13.9063 3.6675
Na 4.0782 1.6837 2.2645
Na 4.0782 6.1113 2.2645
Na 5.3150 3.8975 5.4730
Na 6.6592 11.6926 2.5070
Na 7.8959 9.4788 5.2305
Na 7.8959 13.9063 5.2305
Ge 1.1258 9.4271 2.3176
Ge 1.1258 13.9580 2.3176
Ge 2.8656 1.6321 5.2836
Ge 2.8656 6.1629 5.2836
Ge 5.1172 9.4271 0.6483
Ge 5.1172 13.9580 0.6483
Ge 6.8570 1.6321 3.6143
Ge 6.8570 6.1629 3.6143
Au 1.2666 0.6032 3.6265
Au 1.2666 7.1918 3.6265
Au 1.5935 11.6926 3.3598
Au 2.3979 3.8975 0.3938
Au 2.7248 8.3983 0.6605
Au 2.7248 14.9868 0.6605
Au 5.2579 0.6032 5.2714
Au 5.2579 7.1918 5.2714
Au 5.5849 11.6926 5.5381
Au 6.3893 3.8975 2.5722
Au 6.7162 8.3983 2.3054
Au 6.7162 14.9868 2.3054
```

* crystal system: orthorhombic
* DFT formation energy: -0.280 eV/atom
* size of the total moment: 0.00 μB per cell